The following is a DFT calculation (PBE) of a geometry-optimized MgPaVTc structure.

The structure in CIF format:
```
data_MgPaVTc
_chemical_formula_sum 'Mg4 Pa4 V4 Tc4'
_cell_length_a 6.531
_cell_length_b 6.531
_cell_length_c 6.531
_cell_angle_alpha 90.00
_cell_angle_beta 90.00
_cell_angle_gamma 90.00
_symmetry_space_group_name_H-M 'F -4 3 m'
_symmetry_Int_Tables_number 216
_symmetry_space_group_name_Hall 'F -4 2 3'
loop_
_atom_site_label
_atom_site_fract_x
_atom_site_fract_y
_atom_site_fract_z
Mg1 0.000 0.000 0.000
Pa1 0.000 0.000 0.500
V1 0.250 0.250 0.750
Tc1 0.250 0.250 0.250
```

DOS(E_F) ... 4.27 states/eV/f.u.

***

The following is a DFT calculation (PBE) of a geometry-optimized SrCoOs2 structure.

The structure in CIF format:
```
data_SrCoOs2
_chemical_formula_sum 'Sr2 Co2 Os4'
_cell_length_a 2.853
_cell_length_b 5.094
_cell_length_c 9.891
_cell_angle_alpha 90.00
_cell_angle_beta 90.00
_cell_angle_gamma 90.00
_symmetry_space_group_name_H-M 'I m m 2'
_symmetry_Int_Tables_number 44
_symmetry_space_group_name_Hall 'I 2 -2'
loop_
_atom_site_label
_atom_site_fract_x
_atom_site_fract_y
_atom_site_fract_z
Sr1 0.000 0.000 0.000
Co1 0.000 0.500 0.782
Os1 0.000 0.000 0.492
Os2 0.000 0.500 0.207
```

DOS(E_F) ... 5.41 states/eV/f.u.
Relative energy among the computed polymorphs ... 65.93 kJ/mol of atoms

***

Asked for magnetization across the records above, the calculation gives 1.2, 4.3 Bohr magnetons per cell in order.
Asked for DFT formation energy across the records above, the calculation gives 0.082, 0.950 eV per atom in order.